[1]
{
  "formula": "CaTl2VO4",
  "functional": "PBE with a Hubbard U",
  "state": "relaxed",
  "lattice": [[5.847, 0.000, 0.000], [2.923, 5.544, 0.000], [2.923, 0.000, 11.087]],
  "species": ["Ca", "Ca", "Tl", "Tl", "Tl", "Tl", "V", "V", "O", "O", "O", "O", "O", "O", "O", "O"],
  "fractional_positions": [[0.750, 0.500, 0.500], [0.000, 0.000, 0.000], [0.153, 0.000, 0.693], [0.847, 0.000, 0.307], [0.597, 0.500, 0.807], [0.903, 0.500, 0.193], [0.250, 0.500, 0.500], [0.500, 0.000, 0.000], [0.353, 0.828, 0.087], [0.267, 0.172, 0.913], [0.819, 0.828, 0.913], [0.560, 0.172, 0.087], [0.397, 0.672, 0.413], [0.483, 0.328, 0.587], [0.931, 0.672, 0.587], [0.190, 0.328, 0.413]],
  "magmom_total_mub_per_cell": 0.0,
  "n_ef_per_ev_cell": 4.3,
  "energy_ev_per_cell": -92.42,
  "space_group": "Fddd, No. 70"
}


[2]
{
  "formula": "Ca2Tl3WO6",
  "functional": "PBE with a Hubbard U",
  "state": "relaxed",
  "lattice": [[5.838, 0.007, -0.040], [-2.912, 5.060, -0.040], [-1.025, -1.775, 6.961]],
  "species": ["Ca", "Ca", "Tl", "Tl", "Tl", "W", "O", "O", "O", "O", "O", "O"],
  "fractional_positions": [[0.333, 0.667, 0.000], [0.667, 0.333, 0.000], [0.162, 0.838, 0.500], [0.838, 0.162, 0.500], [0.500, 0.500, 0.500], [0.000, 0.000, 0.000], [0.942, 0.660, 0.844], [0.776, 0.776, 0.158], [0.058, 0.340, 0.156], [0.660, 0.942, 0.844], [0.224, 0.224, 0.842], [0.340, 0.058, 0.156]],
  "magmom_total_mub_per_cell": 0.0,
  "n_ef_per_ev_cell": 0.8,
  "energy_ev_per_cell": -70.46,
  "space_group": "C2/m, No. 12"
}


[3]
{
  "formula": "CaTlW2O8",
  "functional": "PBE with a Hubbard U",
  "state": "relaxed",
  "lattice": [[-1.080, 2.466, 5.784], [4.557, -4.462, -0.149], [1.940, 4.786, -3.745]],
  "species": ["Ca", "Tl", "W", "W", "O", "O", "O", "O", "O", "O", "O", "O"],
  "fractional_positions": [[0.250, 0.750, 0.500], [0.000, 0.000, 0.000], [0.750, 0.250, 0.500], [0.500, 0.500, 0.000], [0.398, 0.084, 0.315], [0.344, 0.538, 0.194], [0.344, 0.151, 0.806], [0.769, 0.084, 0.685], [0.849, 0.656, 0.194], [0.916, 0.231, 0.315], [0.916, 0.602, 0.685], [0.462, 0.656, 0.806]],
  "magmom_total_mub_per_cell": 0.0,
  "n_ef_per_ev_cell": 4.1,
  "energy_ev_per_cell": -81.18,
  "space_group": "I-4m2, No. 119"
}